NaSr2CoO4: relaxed, GGA+U.

The structure in CIF format:
```
data_NaSr2CoO4
_cell_length_a 3.534
_cell_length_b 13.221
_cell_length_c 12.149
_cell_angle_alpha 90.00
_cell_angle_beta 90.00
_cell_angle_gamma 90.00
_symmetry_space_group_name_H-M 'C m c m'
_symmetry_Int_Tables_number 63
_symmetry_space_group_name_Hall '-C 2c 2'
loop_
_atom_site_label
_atom_site_type_symbol
_atom_site_fract_x
_atom_site_fract_y
_atom_site_fract_z
Na1 Na 0.000 0.021 0.250
Sr1 Sr 0.000 0.373 0.035
Co1 Co 0.000 0.198 0.750
O1 O 0.000 0.000 0.000
O2 O 0.000 0.248 0.615
O3 O 0.000 0.394 0.250
```

Summary:
As for the crystal system: orthorhombic. Its total energy is -5.604 eV per atom. The volume is 17.74 Å³ per atom.